The following is a PBE calculation of crystalline BW3C at its relaxed geometry, from the Open Quantum Materials Database.

electronic total energy: -11.07 eV/atom

a = 5.846 Å, b = 7.716 Å, c = 5.256 Å
α = 90.00°, β = 90.00°, γ = 90.00°
Space group Pnma (No. 62)
One atom of each set of equivalent atoms:
B: 0.121 0.250 0.058
W: 0.037 0.750 0.329
W: 0.180 0.569 0.839
C: 0.000 0.000 0.500

***

The following is a PBE calculation of crystalline BW6C2 at its relaxed geometry, from the Open Quantum Materials Database.

electronic total energy: -11.47 eV/atom

a = 5.329 Å, b = 9.231 Å, c = 9.392 Å
α = 90.00°, β = 90.07°, γ = 90.00°
Space group C2/c (No. 15)
One atom of each set of equivalent atoms:
B: 0.000 0.167 0.250
W: 0.163 0.333 0.622
W: 0.168 0.002 0.622
W: 0.168 0.335 0.122
C: 0.000 0.167 0.750
C: 0.000 0.500 0.250

***

> Look up the electronic total energy of the first one.

-11.07 eV/atom

***

> electronic total energy of number 2 (BW6C2)?

-11.47 eV/atom